An optimized crystal structure of CoW2Cl10. Source: the Open Quantum Materials Database, functional PBE.

Summary:
Density: 4.27 Mg/m³
Magnetic moment: 0.0835 μB per atom
VASP energy: -60.75 eV per formula unit

a b c (Å): 6.1281 16.7126 12.0471
angles (deg): 90.00 100.23 90.00
With the nearest neighbours (Å) after each atom.
Space group C2/c (No. 15)
Inequivalent atoms, fractional coordinates:
Co  0.0000  0.0610  0.2500 x4  6 Cl 2.35-2.58
W  0.0000  0.2716  0.2500 x4  6 Cl 2.30-2.46
W  0.0000  0.4326  0.2500 x4  6 Cl 2.34-2.46
Cl  0.1094  0.1616  0.1355 x8  1 Co 2.35, 1 W 2.46
Cl  0.1293  0.3524  0.1125 x8  2 W 2.37-2.38
Cl  0.1370  0.4605  0.6400 x8  1 Co 2.41, 1 W 2.46
Cl  0.1503  0.0506  0.6366 x8  1 W 2.34, 1 Co 2.58
Cl  0.1544  0.2413  0.6403 x8  1 W 2.30